Record 1
Here is DyTmTlCu2 after structural relaxation from the Open Quantum Materials Database. Energies are from PBE.

## Properties
Its symmetry is No. 38. The total energy comes out at -4.0921 eV per atom.

Structure (POSCAR):
```
DyTmTlCu2
1.0
3.662 0.000 0.000
0.000 2.040 7.069
0.000 -2.040 7.069
Dy Tm Tl Cu
1 1 1 2
Cartesian
0.000 0.000 0.000 Dy
0.000 0.000 3.812 Tm
1.831 0.000 8.978 Tl
1.831 0.000 6.102 Cu
1.831 0.000 11.802 Cu
```


Record 2
Here is DyYTlCu2 after structural relaxation from the Open Quantum Materials Database. Energies are from PBE.

## Properties
Its symmetry is No. 38. The total energy comes out at -4.4992 eV per atom.

Structure (POSCAR):
```
DyYTlCu2
1.0
3.629 0.000 0.000
0.000 2.131 7.049
0.000 -2.131 7.049
Dy Y Tl Cu
1 1 1 2
Cartesian
0.000 0.000 0.000 Dy
0.000 0.000 3.791 Y
1.815 0.000 8.947 Tl
1.815 0.000 6.085 Cu
1.815 0.000 11.812 Cu
```


Record 3
Here is DyYCu4 after structural relaxation from the Open Quantum Materials Database. Energies are from PBE.

## Properties
The value obtained for the formation energy is -0.268 eV per atom. Its symmetry is No. 44. The total energy comes out at -4.5902 eV per atom.

Structure (POSCAR):
```
DyYCu4
1.0
-2.142 3.392 3.695
2.142 -3.392 3.695
2.142 3.392 -3.695
Dy Y Cu
1 1 4
Cartesian
0.000 0.000 0.000 Dy
2.142 0.000 3.081 Y
2.142 2.006 0.917 Cu
0.000 2.015 2.179 Cu
0.000 1.386 4.613 Cu
0.000 4.769 2.179 Cu
```


Record 4
Here is DyYCu6 after structural relaxation from the Open Quantum Materials Database. Energies are from PBE.

## Properties
The value obtained for the formation energy is -0.183 eV per atom. Its symmetry is No. 25. The total energy comes out at -4.3538 eV per atom.

Structure (POSCAR):
```
DyYCu6
1.0
4.301 0.000 0.000
0.000 5.776 0.000
0.000 0.000 5.267
Dy Y Cu
1 1 6
Cartesian
0.000 0.000 0.000 Dy
2.151 2.888 3.903 Y
0.000 1.272 2.649 Cu
0.000 2.888 0.732 Cu
0.000 4.504 2.649 Cu
2.151 0.000 3.199 Cu
2.151 1.598 1.254 Cu
2.151 4.178 1.254 Cu
```


Record 5
Here is DyYCu after structural relaxation from the Open Quantum Materials Database. Energies are from PBE.

## Properties
The value obtained for the formation energy is 0.697 eV per atom. Its symmetry is No. 216. The total energy comes out at -4.2308 eV per atom. The calculation puts the excess energy over the best structure of this formula in the dataset at 0 meV per atom.

Structure (POSCAR):
```
DyYCu
1.0
0.000 3.373 3.373
3.373 0.000 3.373
3.373 3.373 0.000
Dy Y Cu
1 1 1
Cartesian
0.000 0.000 0.000 Dy
1.686 1.686 1.686 Y
5.059 5.059 5.059 Cu
```


Record 6
Here is Er3Cu2 after structural relaxation from the Open Quantum Materials Database. Energies are from PBE.

## Properties
The value obtained for the formation energy is -0.203 eV per atom. Its symmetry is No. 12. The total energy comes out at -4.4283 eV per atom.

Structure (POSCAR):
```
Er3Cu2
1.0
6.657 -1.820 0.000
6.657 1.820 0.000
-2.408 0.000 9.292
Er Cu
6 4
Cartesian
0.768 0.000 1.492 Er
4.357 0.000 1.118 Er
3.643 0.000 4.748 Er
7.262 0.000 4.544 Er
6.548 0.000 8.174 Er
10.137 0.000 7.800 Er
-1.009 0.000 5.967 Cu
1.517 0.000 6.738 Cu
9.388 0.000 2.553 Cu
11.914 0.000 3.324 Cu
```